{"formula": "Pm2TlNi", "functional": "PBE", "state": "relaxed", "energy_ev_per_cell": -18.87, "e_form_ev_per_atom": -0.305, "magnetic_moment_mub_per_atom": 0.0000, "n_ef_per_ev_cell": 3.169, "cell": [[3.585, 0.000, 0.000], [0.000, 3.585, 0.000], [0.000, 0.000, 7.809]], "species": ["Pm", "Pm", "Tl", "Ni"], "fractional_positions": [[0.000, 0.000, 0.213], [0.000, 0.000, 0.787], [0.500, 0.500, 0.500], [0.500, 0.500, 0.000]]}


{"formula": "PmTlNi", "functional": "PBE", "state": "relaxed", "relative_energy_mev_per_atom": 0.0, "energy_ev_per_cell": -27.81, "e_form_ev_per_atom": -0.335, "magnetic_moment_mub_per_atom": 0.0000, "n_ef_per_ev_cell": 4.521, "cell": [[1.889, -8.625, 0.000], [1.889, 8.625, 0.000], [0.000, 0.000, 4.268]], "species": ["Pm", "Pm", "Tl", "Tl", "Ni", "Ni"], "fractional_positions": [[0.088, 0.912, 0.750], [0.912, 0.088, 0.250], [0.297, 0.703, 0.750], [0.703, 0.297, 0.250], [0.460, 0.540, 0.750], [0.540, 0.460, 0.250]]}


{"formula": "Pm3TlNi8", "functional": "PBE", "state": "relaxed", "energy_ev_per_cell": -66.35, "e_form_ev_per_atom": -0.290, "magnetic_moment_mub_per_atom": 0.0000, "n_ef_per_ev_cell": 9.368, "cell": [[2.555, 1.475, 8.377], [-2.555, 1.475, 8.377], [0.000, -2.951, 8.377]], "species": ["Pm", "Pm", "Pm", "Tl", "Ni", "Ni", "Ni", "Ni", "Ni", "Ni", "Ni", "Ni"], "fractional_positions": [[0.000, 0.000, 0.000], [0.128, 0.128, 0.128], [0.619, 0.619, 0.619], [0.496, 0.496, 0.496], [0.060, 0.060, 0.564], [0.060, 0.564, 0.060], [0.061, 0.561, 0.561], [0.311, 0.311, 0.311], [0.561, 0.061, 0.561], [0.561, 0.561, 0.061], [0.564, 0.060, 0.060], [0.811, 0.811, 0.811]]}


{"formula": "Pm5TlNi2", "functional": "PBE", "state": "relaxed", "energy_ev_per_cell": -79.69, "e_form_ev_per_atom": -0.270, "magnetic_moment_mub_per_atom": 0.0000, "n_ef_per_ev_cell": 16.938, "cell": [[-3.954, 3.954, 6.816], [3.954, -3.954, 6.816], [3.954, 3.954, -6.816]], "species": ["Pm", "Pm", "Pm", "Pm", "Pm", "Pm", "Pm", "Pm", "Pm", "Pm", "Tl", "Tl", "Ni", "Ni", "Ni", "Ni"], "fractional_positions": [[0.000, 0.000, 0.000], [0.023, 0.523, 0.818], [0.205, 0.023, 0.500], [0.295, 0.795, 0.818], [0.477, 0.295, 0.500], [0.500, 0.500, 0.000], [0.523, 0.705, 0.500], [0.705, 0.205, 0.182], [0.795, 0.977, 0.500], [0.977, 0.477, 0.182], [0.250, 0.250, 0.000], [0.750, 0.750, 0.000], [0.125, 0.375, 0.500], [0.375, 0.875, 0.250], [0.625, 0.125, 0.750], [0.875, 0.625, 0.500]]}


{"formula": "PmTlNi", "functional": "PBE", "state": "relaxed", "relative_energy_mev_per_atom": 217.1, "energy_ev_per_cell": -13.25, "e_form_ev_per_atom": -0.118, "magnetic_moment_mub_per_atom": 0.0000, "n_ef_per_ev_cell": 2.735, "cell": [[-1.710, 1.710, 5.720], [1.710, -1.710, 5.720], [1.710, 1.710, -5.720]], "species": ["Pm", "Tl", "Ni"], "fractional_positions": [[0.000, 0.000, 0.000], [0.714, 0.714, 0.000], [0.351, 0.351, 0.000]]}


{"formula": "Pm12TlNi6", "functional": "PBE", "state": "relaxed", "energy_ev_per_cell": -99.46, "e_form_ev_per_atom": -0.284, "magnetic_moment_mub_per_atom": 0.0000, "n_ef_per_ev_cell": 15.852, "cell": [[-4.996, 4.996, 4.996], [4.996, -4.996, 4.996], [4.996, 4.996, -4.996]], "species": ["Pm", "Pm", "Pm", "Pm", "Pm", "Pm", "Pm", "Pm", "Pm", "Pm", "Pm", "Pm", "Tl", "Ni", "Ni", "Ni", "Ni", "Ni", "Ni"], "fractional_positions": [[0.119, 0.813, 0.306], [0.187, 0.306, 0.493], [0.187, 0.694, 0.881], [0.306, 0.119, 0.813], [0.306, 0.493, 0.187], [0.493, 0.187, 0.306], [0.507, 0.813, 0.694], [0.694, 0.507, 0.813], [0.694, 0.881, 0.187], [0.813, 0.306, 0.119], [0.813, 0.694, 0.507], [0.881, 0.187, 0.694], [0.000, 0.000, 0.000], [0.121, 0.621, 0.500], [0.379, 0.500, 0.879], [0.500, 0.121, 0.621], [0.500, 0.879, 0.379], [0.621, 0.500, 0.121], [0.879, 0.379, 0.500]]}


{"formula": "Pm4TlNi", "functional": "PBE", "state": "relaxed", "relative_energy_mev_per_atom": 0.0, "energy_ev_per_cell": -114.83, "e_form_ev_per_atom": -0.259, "magnetic_moment_mub_per_atom": 0.0000, "n_ef_per_ev_cell": 27.505, "cell": [[0.000, 6.982, 6.982], [6.982, 0.000, 6.982], [6.982, 6.982, 0.000]], "species": ["Pm", "Pm", "Pm", "Pm", "Pm", "Pm", "Pm", "Pm", "Pm", "Pm", "Pm", "Pm", "Pm", "Pm", "Pm", "Pm", "Tl", "Tl", "Tl", "Tl", "Ni", "Ni", "Ni", "Ni"], "fractional_positions": [[0.044, 0.652, 0.652], [0.061, 0.061, 0.439], [0.061, 0.439, 0.061], [0.061, 0.439, 0.439], [0.189, 0.189, 0.811], [0.189, 0.811, 0.189], [0.189, 0.811, 0.811], [0.439, 0.061, 0.061], [0.439, 0.061, 0.439], [0.439, 0.439, 0.061], [0.652, 0.044, 0.652], [0.652, 0.652, 0.044], [0.652, 0.652, 0.652], [0.811, 0.189, 0.189], [0.811, 0.189, 0.811], [0.811, 0.811, 0.189], [0.416, 0.416, 0.416], [0.416, 0.416, 0.752], [0.416, 0.752, 0.416], [0.752, 0.416, 0.416], [0.428, 0.857, 0.857], [0.857, 0.428, 0.857], [0.857, 0.857, 0.428], [0.857, 0.857, 0.857]]}


{"formula": "Pm4TlNi2", "functional": "PBE", "state": "relaxed", "energy_ev_per_cell": -33.96, "e_form_ev_per_atom": -0.147, "magnetic_moment_mub_per_atom": 0.0000, "n_ef_per_ev_cell": 4.671, "cell": [[2.434, 1.405, 9.250], [-2.434, 1.405, 9.250], [0.000, -2.810, 9.250]], "species": ["Pm", "Pm", "Pm", "Pm", "Tl", "Ni", "Ni"], "fractional_positions": [[0.112, 0.112, 0.112], [0.297, 0.297, 0.297], [0.703, 0.703, 0.703], [0.888, 0.888, 0.888], [0.500, 0.500, 0.500], [0.400, 0.400, 0.400], [0.600, 0.600, 0.600]]}